No. 1
KPdPb2Cl | PBE-GGA | optimized geometry

Output
Formation energy from raw total energies, meV per atom: -290
Crystal system: tetragonal
SG: P4/mmm
V, Å³/atom: 38.9
Magnetization, μB/atom: 0.000

Structure (POSCAR):
```
KPdPb2Cl
1.0
5.1724 0.0000 0.0000
0.0000 5.1724 0.0000
0.0000 0.0000 7.2741
K Pd Pb Cl
1 1 2 1
direct
0.0000 0.0000 0.0000
0.5000 0.5000 0.5000
0.0000 0.5000 0.5000
0.5000 0.0000 0.5000
0.5000 0.5000 0.0000
```

No. 2
MgGaRu | PBE-GGA | optimized geometry

Output
E_tot, eV/atom: -4.79
Crystal system: trigonal
SG: P3m1
V, Å³/atom: 16.2
Magnetization, μB/atom: 0.004

Structure (POSCAR):
```
MgGaRu
1.0
4.3031 0.0000 0.0000
-2.1516 3.7266 0.0000
0.0000 0.0000 3.0295
Mg Ga Ru
1 1 1
direct
0.0000 0.0000 0.0000
0.6667 0.3333 0.4983
0.3333 0.6667 0.5008
```

No. 3
MnNi3P | PBE-GGA | optimized geometry

Output
Excess energy over the best structure of this formula in the dataset, eV per formula unit: 1.27
Crystal system: cubic
SG: Pm-3m
V, Å³/atom: 14.2
Magnetization, μB/atom: 0.924

Structure (POSCAR):
```
MnNi3P
1.0
4.1417 0.0000 0.0000
0.0000 4.1417 0.0000
0.0000 0.0000 4.1417
Mn Ni P
1 3 1
direct
0.0000 0.0000 0.0000
0.0000 0.5000 0.5000
0.5000 0.0000 0.5000
0.5000 0.5000 0.0000
0.5000 0.5000 0.5000
```

No. 4
RbSr2Cu | PBE-GGA | optimized geometry

Output
Excess energy over the best structure of this formula in the dataset, eV per formula unit: 0.65
Crystal system: tetragonal
SG: I-42d
V, Å³/atom: 50.0
Magnetization, μB/atom: 0.000

Structure (POSCAR):
```
RbSr2Cu
1.0
-5.0885 5.0885 3.8625
5.0885 -5.0885 3.8625
5.0885 5.0885 -3.8625
Rb Sr Cu
2 4 2
direct
0.0000 0.0000 0.0000
0.7500 0.2500 0.5000
0.2353 0.6250 0.1103
0.3750 0.4853 0.6103
0.5147 0.1250 0.8897
0.8750 0.7647 0.3897
0.2500 0.7500 0.5000
0.5000 0.5000 0.0000
```

No. 5
DyBi2Sb2Pd7 | PBE-GGA | optimized geometry

Output
Formation energy from raw total energies, meV per atom: -480
Crystal system: monoclinic
SG: C2/m
V, Å³/atom: 21.4
Magnetization, μB/atom: 0.000

Structure (POSCAR):
```
DyBi2Sb2Pd7
1.0
2.9106 -2.9085 0.0000
2.9106 2.9085 0.0000
-1.7040 0.0000 15.1401
Dy Bi Sb Pd
1 2 2 7
direct
0.0000 0.0000 0.0000
0.1282 0.1282 0.4059
0.8718 0.8718 0.5941
0.4277 0.4277 0.7509
0.5723 0.5723 0.2491
0.0404 0.5410 0.1384
0.3637 0.3637 0.5758
0.4590 0.9596 0.8616
0.5000 0.5000 0.0000
0.5410 0.0404 0.1384
0.6363 0.6363 0.4242
0.9596 0.4590 0.8616
```

No. 6
Pm5SmRh4 | PBE-GGA | optimized geometry

Output
Excess energy over the best structure of this formula in the dataset, eV per formula unit: 0.00
Crystal system: monoclinic
SG: C2/m
V, Å³/atom: 27.4
Magnetization, μB/atom: 0.000

Structure (POSCAR):
```
Pm5SmRh4
1.0
9.2557 -2.1454 0.0000
9.2557 2.1454 0.0000
-3.0577 0.0000 6.8880
Pm Sm Rh
5 1 4
direct
0.0000 0.0000 0.0000
0.3355 0.3355 0.0913
0.3355 0.3355 0.5802
0.6645 0.6645 0.4198
0.6645 0.6645 0.9087
0.0000 0.0000 0.5000
0.1977 0.1977 0.6975
0.4999 0.4999 0.2440
0.5001 0.5001 0.7560
0.8023 0.8023 0.3025
```

No. 7
KZrRh2 | PBE-GGA | optimized geometry

Output
Excess energy over the best structure of this formula in the dataset, eV per formula unit: 1.01
Crystal system: monoclinic
SG: C2/m
V, Å³/atom: 24.1
Magnetization, μB/atom: 0.000

Structure (POSCAR):
```
KZrRh2
1.0
3.9420 -1.5794 0.0000
3.9420 1.5794 0.0000
-0.9612 0.0000 7.7335
K Zr Rh
1 1 2
direct
0.0000 0.0000 0.0000
0.5000 0.5000 0.5000
0.2309 0.2309 0.6683
0.7691 0.7691 0.3317
```

No. 8
Fe2Mo | PBE-GGA | optimized geometry

Output
E_tot, eV/atom: -8.65
Crystal system: tetragonal
SG: I4/mcm
V, Å³/atom: 13.9
Magnetization, μB/atom: 0.976

Structure (POSCAR):
```
Fe2Mo
1.0
-2.8471 2.8471 2.5667
2.8471 -2.8471 2.5667
2.8471 2.8471 -2.5667
Fe Mo
4 2
direct
0.1404 0.6404 0.7809
0.3596 0.1404 0.5000
0.6404 0.8596 0.5000
0.8596 0.3596 0.2191
0.2500 0.2500 0.0000
0.7500 0.7500 0.0000
```

No. 9
TaNb6V | PBE-GGA | optimized geometry

Output
Excess energy over the best structure of this formula in the dataset, eV per formula unit: 0.00
Crystal system: orthorhombic
SG: Cmmm
V, Å³/atom: 17.8
Magnetization, μB/atom: 0.077

Structure (POSCAR):
```
TaNb6V
1.0
3.2794 -4.6734 0.0000
3.2794 4.6734 0.0000
0.0000 0.0000 4.6428
Ta Nb V
1 6 1
direct
0.0000 0.0000 0.0000
0.0000 0.5000 0.0000
0.2488 0.7512 0.5000
0.2576 0.2576 0.5000
0.5000 0.0000 0.0000
0.7424 0.7424 0.5000
0.7512 0.2488 0.5000
0.5000 0.5000 0.0000
```

No. 10
BaAs2Ru | PBE-GGA | optimized geometry

Output
E_tot, eV/atom: -4.67
Crystal system: cubic
SG: F-43m
V, Å³/atom: 22.1
Magnetization, μB/atom: 0.002

Structure (POSCAR):
```
BaAs2Ru
1.0
0.0000 3.5346 3.5346
3.5346 0.0000 3.5346
3.5346 3.5346 0.0000
Ba As Ru
1 2 1
direct
0.0000 0.0000 0.0000
0.2500 0.2500 0.2500
0.5000 0.5000 0.5000
0.7500 0.7500 0.7500
```

No. 11
Ac15PmNd4 | PBE-GGA | optimized geometry

Output
E_tot, eV/atom: -4.25
Crystal system: tetragonal
SG: P4/mmm
V, Å³/atom: 42.4
Magnetization, μB/atom: 0.000

Structure (POSCAR):
```
Ac15PmNd4
1.0
5.5436 0.0000 0.0000
0.0000 5.5436 0.0000
0.0000 0.0000 27.6073
Ac Pm Nd
15 1 4
direct
0.0000 0.0000 0.0000
0.0000 0.0000 0.1999
0.0000 0.0000 0.4001
0.0000 0.0000 0.5999
0.0000 0.0000 0.8001
0.0000 0.5000 0.0998
0.0000 0.5000 0.3000
0.0000 0.5000 0.5000
0.0000 0.5000 0.7000
0.0000 0.5000 0.9002
0.5000 0.0000 0.0998
0.5000 0.0000 0.3000
0.5000 0.0000 0.5000
0.5000 0.0000 0.7000
0.5000 0.0000 0.9002
0.5000 0.5000 0.0000
0.5000 0.5000 0.2000
0.5000 0.5000 0.4000
0.5000 0.5000 0.6000
0.5000 0.5000 0.8000
```

No. 12
Li2YTmHg4 | PBE-GGA | optimized geometry

Output
E_tot, eV/atom: -2.43
Crystal system: trigonal
SG: R-3m
V, Å³/atom: 22.2
Magnetization, μB/atom: 0.000

Structure (POSCAR):
```
Li2YTmHg4
1.0
2.5014 1.4442 8.1769
-2.5014 1.4442 8.1769
0.0000 -2.8883 8.1769
Li Y Tm Hg
2 1 1 4
direct
0.2504 0.2504 0.2504
0.7496 0.7496 0.7496
0.5000 0.5000 0.5000
0.0000 0.0000 0.0000
0.1236 0.1236 0.1236
0.3738 0.3738 0.3738
0.6262 0.6262 0.6262
0.8764 0.8764 0.8764
```